{"formula": "Mg2Ag2Hg", "functional": "GGA-PBEsol", "state": "relaxed", "lattice": [[7.524, 0.000, 0.000], [0.000, 7.524, 0.000], [0.000, 0.000, 3.350]], "species": ["Mg", "Mg", "Mg", "Mg", "Ag", "Ag", "Ag", "Ag", "Hg", "Hg"], "frac_coords": [[0.163, 0.337, 0.000], [0.337, 0.837, 0.000], [0.663, 0.163, 0.000], [0.837, 0.663, 0.000], [0.133, 0.633, 0.500], [0.367, 0.133, 0.500], [0.633, 0.867, 0.500], [0.867, 0.367, 0.500], [0.000, 0.000, 0.500], [0.500, 0.500, 0.500]], "vol_a3_per_atom": 18.97, "relative_energy_ev_per_atom": 0.000, "m_tot_mub_per_atom": 0.000, "ef_ev_per_atom": -0.19, "space_group": "P4/mbm"}